Density functional theory data (PBE) for crystalline LiSnBi2O6 at its relaxed geometry.

Lattice parameters (Å, degrees): 6.0187 6.0187 6.0187 56.50 56.50 56.50
Fractional coordinates of all 10 atoms:
Li: 0.0000 0.0000 0.0000
Sn: 0.4811 0.4811 0.4811
Bi: 0.2711 0.2711 0.2711
Bi: 0.7789 0.7789 0.7789
O: 0.1129 0.6806 0.3661
O: 0.2006 0.6142 0.8251
O: 0.3661 0.1129 0.6806
O: 0.6142 0.8251 0.2006
O: 0.6806 0.3661 0.1129
O: 0.8251 0.2006 0.6142

Volume = 14.17 Å³/atom
E_form (uncorrected) = -1373 meV/atom
Uncorrected energy = -5.716 eV/atom
D(E_F) = 0.221 states/eV per atom